Below is a relaxed structure of AsSeBr2, with properties calculated at the GGA-PBE level.

## Properties
Space-group type ... Pmmm, No. 47
Formation energy without anion corrections ... 652 meV/atom
DOS(E_F) ... 3.16 states/eV per cell
Total moment ... 0.00 μB/f.u.
Distance to the lowest polymorph of the same formula ... 322 kJ/mol of formula units

a b c (Å): 3.3052 4.1172 6.7274
angles (deg): 90.00 90.00 90.00
Positions (direct):
Br 0.0000 0.0000 0.5165
Br 0.0000 0.0000 0.9835
As 0.5000 0.5000 0.7500
Se 0.5000 0.5000 0.2500

=====

Below is a relaxed structure of As3SeBr, with properties calculated at the GGA-PBE level.

## Properties
Space-group type ... Pm-3m, No. 221
Formation energy without anion corrections ... 874 meV/atom
DOS(E_F) ... 1.95 states/eV per cell
Total moment ... 0.00 μB/f.u.
Distance to the lowest polymorph of the same formula ... 0 kJ/mol of formula units

a b c (Å): 5.0863 5.0863 5.0863
angles (deg): 90.00 90.00 90.00
Positions (direct):
As 0.0000 0.0000 0.5000
As 0.5000 0.0000 0.0000
As 0.0000 0.5000 0.0000
Br 0.5000 0.5000 0.5000
Se 0.0000 0.0000 0.0000

=====

Below is a relaxed structure of AsSeBr, with properties calculated at the GGA-PBE level.

## Properties
Space-group type ... F-43m, No. 216
Formation energy without anion corrections ... 234 meV/atom
DOS(E_F) ... 1.08 states/eV per cell
Total moment ... 0.00 μB/f.u.

a b c (Å): 4.7748 4.7748 4.7748
angles (deg): 60.00 60.00 60.00
Positions (direct):
As 0.2500 0.2500 0.2500
Br 0.0000 0.0000 0.0000
Se 0.5000 0.5000 0.5000

=====

Below is a relaxed structure of AsSeBr, with properties calculated at the GGA-PBE level.

## Properties
Space-group type ... I4mm, No. 107
Formation energy without anion corrections ... -162 meV/atom
DOS(E_F) ... 0.13 states/eV per cell
Total moment ... 0.00 μB/f.u.

a b c (Å): 7.1780 7.1780 7.1780
angles (deg): 149.53 149.50 43.66
Positions (direct):
As 0.1217 0.1217 0.0000
Br 0.2983 0.2983 0.0000
Se 0.5799 0.5799 0.0000

=====

> What is the formula in the first record?

AsSeBr2